i.
Computed, not measured: a relaxed structure of CeUPt6 at the PBE-GGA level of DFT.

Cell and atoms, written as POSCAR:
```
CeUPt6
1.0
7.1478 0.0000 0.0000
3.5739 6.1902 0.0000
3.5739 2.0634 3.7996
Ce U Pt
1 1 6
Direct
0.5000 0.5000 0.5000
0.0000 0.0000 0.0000
0.8474 0.8474 0.8360
0.4693 0.8474 0.8360
0.1526 0.5307 0.1640
0.5307 0.1526 0.1640
0.1526 0.1526 0.1640
0.8474 0.4693 0.8360
```

ii.
Computed, not measured: a relaxed structure of CeUPt6 at the PBE-GGA level of DFT.

Cell and atoms, written as POSCAR:
```
CeUPt6
1.0
4.1687 0.0000 0.0000
0.0000 4.1687 0.0000
0.0000 0.0000 8.3421
Ce U Pt
1 1 6
Direct
0.0000 0.0000 0.5000
0.0000 0.0000 0.0000
0.5000 0.5000 0.0000
0.5000 0.5000 0.5000
0.5000 0.0000 0.2474
0.5000 0.0000 0.7526
0.0000 0.5000 0.2474
0.0000 0.5000 0.7526
```

ii is the most stable structure; the next one sits 36.5 kJ/mol of atoms above it.